Ba2LiRuO5: optimized geometry, GGA-PBE.

a = 3.4334 Å, b = 15.0921 Å, c = 10.5925 Å
α = 90.00°, β = 90.00°, γ = 90.00°
Closest atoms and distances in Å follow each position.
Space group Cmc2_1 (No. 36)
Unique sites:
Ba (0.0000, 0.1168, 0.0000)  5 O 2.58-2.83
Ba (0.0000, 0.1237, 0.6002)  7 O 2.60-2.85
Li (0.0000, 0.4372, 0.7502)  4 O 1.92-2.14
Ru (0.0000, 0.2072, 0.3086)  2 O 1.88-1.89
O (0.0000, 0.0832, 0.3264)  1 Ru 1.88, 2 Li 1.92
O (0.0000, 0.2882, 0.9263)  2 Ru 2.12
O (0.0000, 0.3016, 0.6908)  2 Ru 2.13, 1 Li 2.14
O (0.0000, 0.3326, 0.3008)  1 Ru 1.89
O (0.0000, 0.4948, 0.5888)  1 Li 1.92

Properties
**Uncorrected formation energy**: -1.830 eV per atom
**Magnetic moment**: 0.1103 μB/atom